Entry from the Alexandria database: a geometry-optimized Tm3Ga4Pd2 structure (PBE).

Cell lengths 4.416, 5.687, 8.143 Å; angles 72.33, 74.27, 67.15 degrees
Element x y z (fractional)
Ga  0.259  0.402  0.079
Tm  0.680  0.284  0.356
Pd  0.404  0.926  0.265
Tm  0.000  0.000  0.000
Ga  0.741  0.598  0.921
Tm  0.320  0.716  0.644
Ga  0.020  0.319  0.640
Ga  0.980  0.681  0.360
Pd  0.596  0.074  0.735

## Properties
formation enthalpy at 0 K	-0.81	eV per atom
electronic total energy	-43.217	eV per cell
calculated volume	177	Å³ per cell

---

Entry from the Alexandria database: a geometry-optimized NaSnRuO6 structure (PBE).

Cell lengths 5.377, 5.377, 10.153 Å; angles 90.00, 90.00, 120.00 degrees
Element x y z (fractional)
O  0.975  0.606  0.357
O  0.631  0.025  0.357
O  0.369  0.394  0.857
O  0.369  0.975  0.643
O  0.975  0.369  0.143
O  0.025  0.394  0.643
Sn  0.667  0.333  0.750
O  0.025  0.631  0.857
Na  0.000  0.000  0.000
O  0.394  0.369  0.357
O  0.631  0.606  0.143
O  0.394  0.025  0.143
Ru  0.667  0.333  0.250
Na  0.000  0.000  0.500
O  0.606  0.631  0.643
Sn  0.333  0.667  0.250
Ru  0.333  0.667  0.750
O  0.606  0.975  0.857

## Properties
electronic total energy	-107.790	eV per cell
calculated volume	254	Å³ per cell
ΔE_f (raw)	-1060.9	meV/atom

---

Entry from the Alexandria database: a geometry-optimized BiBRu2 structure (PBE).

Cell lengths 5.606, 5.606, 6.126 Å; angles 62.77, 62.77, 90.00 degrees
Element x y z (fractional)
Bi  0.750  0.250  0.500
Ru  0.231  0.625  0.250
B  0.500  0.500  0.000
B  0.250  0.750  0.500
Ru  0.375  0.481  0.750
Ru  0.875  0.769  0.750
Bi  0.000  0.000  0.000
Ru  0.519  0.125  0.250

## Properties
formation enthalpy at 0 K	0.56	eV per atom
electronic total energy	-53.753	eV per cell
calculated volume	147	Å³ per cell
relative energy among the computed polymorphs	0	meV per atom

---

Entry from the Alexandria database: a geometry-optimized Sm3Tm2Tl3 structure (PBE).

Cell lengths 3.791, 5.437, 11.871 Å; angles 103.24, 99.19, 90.00 degrees
Element x y z (fractional)
Sm  0.626  0.626  0.253
Tl  0.123  0.123  0.245
Tl  0.000  0.500  0.000
Tl  0.877  0.877  0.755
Sm  0.500  0.000  0.000
Tm  0.736  0.236  0.471
Tm  0.264  0.764  0.529
Sm  0.374  0.374  0.747

## Properties
formation enthalpy at 0 K	-0.28	eV per atom
electronic total energy	-32.430	eV per cell
calculated volume	235	Å³ per cell
relative energy among the computed polymorphs	30	meV per atom